1.
Here is crystalline ZrAu3 at its relaxed geometry from Alexandria. Energies are from PBE.

Values from the calculation:
ΔE_f   -0.14 eV/atom

abc: 9.5571 9.5571 2.9020
angles: 90.00 90.00 120.00
Space group R-3m (No. 166, hexagonal axes)
Inequivalent atoms, fractional coordinates:
Zr: 0.0000 0.0000 0.0000
Au: 0.0000 0.5000 0.0000


2.
Here is crystalline ZrAu at its relaxed geometry from Alexandria. Energies are from PBE.

Values from the calculation:
ΔE_f   -0.16 eV/atom

abc: 10.4917 10.4917 3.2650
angles: 90.00 90.00 90.00
Space group I4/m (No. 87)
Inequivalent atoms, fractional coordinates:
Zr: 0.1148 0.6408 0.0000
Au: 0.0851 0.1678 0.0000